(1)
This record from Alexandria describes a relaxed structure of Ti2VCl6. The functional is PBE-GGA.

Cell lengths 14.422, 3.327, 9.598 Å; angles 90.00, 116.62, 90.00 degrees
Space group C2/m (No. 12)
Inequivalent atoms, fractional coordinates:
Ti 0.190 0.000 0.372 (multiplicity 4)
V 0.000 0.500 0.000 (multiplicity 2)
Cl 0.042 0.500 0.280 (multiplicity 4)
Cl 0.137 0.000 0.066 (multiplicity 4)
Cl 0.181 0.000 0.620 (multiplicity 4)

**Raw formation energy**: -1.372 eV/atom
**Spin magnetization**: 2.96 μB per formula unit
**ΔE to the lowest computed polymorph**: 0.0000 eV per atom
**Uncorrected energy**: -5.371 eV/atom

---

(2)
This record from Alexandria describes a relaxed structure of Ti3VCl. The functional is PBE-GGA.

Cell lengths 4.676, 4.676, 4.676 Å; angles 90.00, 90.00, 90.00 degrees
Space group Pm-3m (No. 221)
Inequivalent atoms, fractional coordinates:
Ti 0.000 0.000 0.500 (multiplicity 3)
V 0.000 0.000 0.000 (multiplicity 1)
Cl 0.500 0.500 0.500 (multiplicity 1)

**Raw formation energy**: 0.795 eV/atom
**Spin magnetization**: 2.16 μB per formula unit
**ΔE to the lowest computed polymorph**: 0.5901 eV per atom
**Uncorrected energy**: -6.135 eV/atom

---

(3)
This record from Alexandria describes a relaxed structure of TiV3Cl. The functional is PBE-GGA.

Cell lengths 4.536, 4.536, 4.536 Å; angles 90.00, 90.00, 90.00 degrees
Space group Pm-3m (No. 221)
Inequivalent atoms, fractional coordinates:
Ti 0.000 0.000 0.000 (multiplicity 1)
V 0.000 0.000 0.500 (multiplicity 3)
Cl 0.500 0.500 0.500 (multiplicity 1)

**Raw formation energy**: 1.490 eV/atom
**Spin magnetization**: 0.00 μB per formula unit
**Uncorrected energy**: -5.929 eV/atom

---

(4)
This record from Alexandria describes a relaxed structure of TiV2Cl6. The functional is PBE-GGA.

Cell lengths 13.016, 10.806, 6.225 Å; angles 90.00, 118.10, 90.00 degrees
Space group C2/c (No. 15)
Inequivalent atoms, fractional coordinates:
Ti 0.000 0.079 0.250 (multiplicity 4)
V 0.246 0.418 0.492 (multiplicity 8)
Cl 0.125 0.090 0.036 (multiplicity 8)
Cl 0.128 0.244 0.533 (multiplicity 8)
Cl 0.135 0.427 0.061 (multiplicity 8)

**Raw formation energy**: -1.114 eV/atom
**Spin magnetization**: 5.99 μB per formula unit
**ΔE to the lowest computed polymorph**: 0.1223 eV per atom
**Uncorrected energy**: -5.248 eV/atom

---

(5)
This record from Alexandria describes a relaxed structure of TiVCl4. The functional is PBE-GGA.

Cell lengths 13.471, 3.560, 5.965 Å; angles 90.00, 99.81, 90.00 degrees
Space group C2/m (No. 12)
Inequivalent atoms, fractional coordinates:
Ti 0.000 0.000 0.000 (multiplicity 2)
V 0.000 0.500 0.500 (multiplicity 2)
Cl 0.109 0.000 0.386 (multiplicity 4)
Cl 0.111 0.500 0.878 (multiplicity 4)

**Raw formation energy**: -1.279 eV/atom
**Spin magnetization**: 1.00 μB per formula unit
**Uncorrected energy**: -5.346 eV/atom

---

(6)
This record from Alexandria describes a relaxed structure of TiVCl2. The functional is PBE-GGA.

Cell lengths 3.1647, 3.1647, 24.8387 Å; angles 90.00, 90.00, 120.00 degrees
Space group R-3m (No. 166, hexagonal axes)
Inequivalent atoms, fractional coordinates:
Ti 0.0000 0.0000 0.0000 (multiplicity 3)
V 0.0000 0.0000 0.5000 (multiplicity 3)
Cl 0.0000 0.0000 0.4017 (multiplicity 6)

**Raw formation energy**: -0.430 eV/atom
**Spin magnetization**: 3.11 μB per formula unit
**ΔE to the lowest computed polymorph**: 0.0000 eV per atom
**Uncorrected energy**: -5.607 eV/atom

---

(7)
This record from Alexandria describes a relaxed structure of Ti2VCl6. The functional is PBE-GGA.

Cell lengths 11.921, 11.817, 6.387 Å; angles 90.00, 91.39, 90.00 degrees
Space group C2/c (No. 15)
Inequivalent atoms, fractional coordinates:
Ti 0.189 0.040 0.029 (multiplicity 8)
V 0.000 0.038 0.750 (multiplicity 4)
Cl 0.110 0.200 0.872 (multiplicity 8)
Cl 0.122 0.125 0.348 (multiplicity 8)
Cl 0.168 0.459 0.247 (multiplicity 8)

**Raw formation energy**: -1.227 eV/atom
**Spin magnetization**: 0.39 μB per formula unit
**ΔE to the lowest computed polymorph**: 0.1453 eV per atom
**Uncorrected energy**: -5.225 eV/atom

---

(8)
This record from Alexandria describes a relaxed structure of Ti3VCl. The functional is PBE-GGA.

Cell lengths 4.434, 4.434, 4.434 Å; angles 90.00, 90.00, 90.00 degrees
Space group Pm-3m (No. 221)
Inequivalent atoms, fractional coordinates:
Ti 0.000 0.000 0.500 (multiplicity 3)
V 0.500 0.500 0.500 (multiplicity 1)
Cl 0.000 0.000 0.000 (multiplicity 1)

**Raw formation energy**: 0.205 eV/atom
**Spin magnetization**: 1.44 μB per formula unit
**ΔE to the lowest computed polymorph**: 0.0000 eV per atom
**Uncorrected energy**: -6.725 eV/atom

---

(9)
This record from Alexandria describes a relaxed structure of TiVCl2. The functional is PBE-GGA.

Cell lengths 4.306, 4.306, 15.457 Å; angles 90.00, 90.00, 90.00 degrees
Space group I-42d (No. 122)
Inequivalent atoms, fractional coordinates:
Ti 0.000 0.000 0.000 (multiplicity 4)
V 0.000 0.000 0.500 (multiplicity 4)
Cl 0.248 0.250 0.625 (multiplicity 8)

**Raw formation energy**: -0.230 eV/atom
**Spin magnetization**: 2.34 μB per formula unit
**ΔE to the lowest computed polymorph**: 0.2006 eV per atom
**Uncorrected energy**: -5.407 eV/atom

---

(10)
This record from Alexandria describes a relaxed structure of ZrTiV2Cl. The functional is PBE-GGA.

Cell lengths 4.528, 4.528, 4.610 Å; angles 90.00, 90.00, 90.00 degrees
Space group P4/mmm (No. 123)
Inequivalent atoms, fractional coordinates:
Zr 0.000 0.000 0.000 (multiplicity 1)
Ti 0.500 0.500 0.500 (multiplicity 1)
V 0.000 0.500 0.500 (multiplicity 2)
Cl 0.500 0.500 0.000 (multiplicity 1)

**Raw formation energy**: 0.918 eV/atom
**Spin magnetization**: 1.45 μB per formula unit
**Uncorrected energy**: -6.387 eV/atom

---

(11)
This record from Alexandria describes a relaxed structure of Ti2WCl2. The functional is PBE-GGA.

Cell lengths 3.750, 3.750, 12.515 Å; angles 90.00, 90.00, 90.00 degrees
Space group I4/mmm (No. 139)
Inequivalent atoms, fractional coordinates:
Ti 0.000 0.000 0.111 (multiplicity 4)
W 0.000 0.000 0.500 (multiplicity 2)
Cl 0.000 0.500 0.250 (multiplicity 4)

**Raw formation energy**: 0.133 eV/atom
**Spin magnetization**: 0.00 μB per formula unit
**ΔE to the lowest computed polymorph**: 0.0000 eV per atom
**Uncorrected energy**: -6.354 eV/atom

---

(12)
This record from Alexandria describes a relaxed structure of TiWCl. The functional is PBE-GGA.

Cell lengths 3.110, 4.171, 10.918 Å; angles 100.91, 97.61, 90.08 degrees
Space group P1 (No. 1)
Inequivalent atoms, fractional coordinates:
Ti 0.000 0.000 0.000 (multiplicity 1)
Ti 0.252 0.300 0.594 (multiplicity 1)
W 0.126 0.887 0.774 (multiplicity 1)
W 0.644 0.405 0.811 (multiplicity 1)
Cl 0.009 0.562 0.124 (multiplicity 1)
Cl 0.656 0.211 0.422 (multiplicity 1)

**Raw formation energy**: -0.238 eV/atom
**Spin magnetization**: 0.00 μB per formula unit
**Uncorrected energy**: -7.803 eV/atom